1.
The following is a DFT calculation (GGA-PBE) of a relaxed structure of CsAlTlB2.

Computed properties:
Mass density ... 3.74 Mg/m³
Magnetization ... 0.000 μB/atom
Formation energy ... 2.57 eV/atom

```
data_CsAlTlB2
_chemical_formula_sum 'Cs1 Al1 Tl1 B2'
_space_group_name_H-M_alt 'P 4/m m m'
_space_group_IT_number 123
_space_group_name_Hall '-P 4 2'
_cell_length_a 5.151
_cell_length_b 5.151
_cell_length_c 6.465
_cell_angle_alpha 90.00
_cell_angle_beta 90.00
_cell_angle_gamma 90.00
loop_
_atom_site_label
_atom_site_fract_x
_atom_site_fract_y
_atom_site_fract_z
Cs1 0.000 0.000 0.000
Al1 0.500 0.500 0.500
Tl1 0.000 0.000 0.500
B1 0.000 0.500 0.000
```


2.
The following is a DFT calculation (GGA-PBE) of a relaxed structure of Nd5AlTl3.

Computed properties:
Mass density ... 8.38 Mg/m³
Magnetization ... 0.000 μB/atom
Formation energy ... -0.34 eV/atom

```
data_Nd5AlTl3
_chemical_formula_sum 'Nd10 Al2 Tl6'
_space_group_name_H-M_alt 'P 63/m c m'
_space_group_IT_number 193
_space_group_name_Hall '-P 6c 2'
_cell_length_a 9.6333
_cell_length_b 9.6333
_cell_length_c 6.7136
_cell_angle_alpha 90.00
_cell_angle_beta 90.00
_cell_angle_gamma 120.00
loop_
_atom_site_label
_atom_site_fract_x
_atom_site_fract_y
_atom_site_fract_z
Nd1 0.0000 0.2767 0.2500
Nd2 0.3333 0.6667 0.0000
Al1 0.0000 0.0000 0.0000
Tl1 0.0000 0.3744 0.7500
```


3.
The following is a DFT calculation (GGA-PBE) of a relaxed structure of CaScTe2O8.

Computed properties:
Mass density ... 4.89 Mg/m³
Magnetization ... 0.000 μB/atom
Raw formation energy ... -1.833 eV/atom

```
data_CaScTe2O8
_chemical_formula_sum 'Ca2 Sc2 Te4 O16'
_space_group_name_H-M_alt 'C m m m'
_space_group_IT_number 65
_space_group_name_Hall '-C 2 2'
_cell_length_a 6.739
_cell_length_b 7.199
_cell_length_c 6.550
_cell_angle_alpha 90.00
_cell_angle_beta 90.00
_cell_angle_gamma 90.00
loop_
_atom_site_label
_atom_site_fract_x
_atom_site_fract_y
_atom_site_fract_z
Ca1 0.000 0.000 0.000
Sc1 0.000 0.000 0.500
Te1 0.000 0.500 0.253
O1 0.000 0.316 0.500
O2 0.000 0.327 0.000
O3 0.211 0.000 0.268
```


4.
The following is a DFT calculation (GGA-PBE) of a relaxed structure of Hf2PWN.

Computed properties:
Mass density ... 12.41 Mg/m³
Magnetization ... 0.000 μB/atom
Raw formation energy ... -0.406 eV/atom

```
data_Hf2PWN
_chemical_formula_sum 'Hf2 P1 W1 N1'
_space_group_name_H-M_alt 'P 4/m m m'
_space_group_IT_number 123
_space_group_name_Hall '-P 4 2'
_cell_length_a 4.464
_cell_length_b 4.464
_cell_length_c 3.932
_cell_angle_alpha 90.00
_cell_angle_beta 90.00
_cell_angle_gamma 90.00
loop_
_atom_site_label
_atom_site_fract_x
_atom_site_fract_y
_atom_site_fract_z
Hf1 0.000 0.500 0.000
P1 0.000 0.000 0.500
W1 0.500 0.500 0.500
N1 0.500 0.500 0.000
```


5.
The following is a DFT calculation (GGA-PBE) of a relaxed structure of MgNp2Sb4.

Computed properties:
Mass density ... 8.31 Mg/m³
Magnetization ... 1.064 μB/atom
Raw formation energy ... -0.232 eV/atom

```
data_MgNp2Sb4
_chemical_formula_sum 'Mg1 Np2 Sb4'
_space_group_name_H-M_alt 'P -4 m 2'
_space_group_IT_number 115
_cell_length_a 4.281
_cell_length_b 4.281
_cell_length_c 10.743
_cell_angle_alpha 90.00
_cell_angle_beta 90.00
_cell_angle_gamma 90.00
loop_
_space_group_symop_operation_xyz
'x,y,z'
'y,-x,-z'
'-x,-y,z'
'-y,x,-z'
'-x,y,z'
'-y,-x,-z'
'x,-y,z'
'y,x,-z'
loop_
_atom_site_label
_atom_site_fract_x
_atom_site_fract_y
_atom_site_fract_z
Mg1 0.000 0.000 0.000
Np1 0.000 0.500 0.727
Sb1 0.000 0.000 0.500
Sb2 0.000 0.500 0.182
Sb3 0.500 0.500 0.500
```


6.
The following is a DFT calculation (GGA-PBE) of a relaxed structure of Ba3SnO.

Computed properties:
Mass density ... 5.38 Mg/m³
Magnetization ... 0.000 μB/atom
Raw formation energy ... -1.391 eV/atom

```
data_Ba3SnO
_chemical_formula_sum 'Ba3 Sn1 O1'
_space_group_name_H-M_alt 'P m -3 m'
_space_group_IT_number 221
_space_group_name_Hall '-P 4 2 3'
_cell_length_a 5.525
_cell_length_b 5.525
_cell_length_c 5.525
_cell_angle_alpha 90.00
_cell_angle_beta 90.00
_cell_angle_gamma 90.00
loop_
_atom_site_label
_atom_site_fract_x
_atom_site_fract_y
_atom_site_fract_z
Ba1 0.000 0.000 0.500
Sn1 0.500 0.500 0.500
O1 0.000 0.000 0.000
```


7.
The following is a DFT calculation (GGA-PBE) of a relaxed structure of Be2NbIN.

Computed properties:
Mass density ... 4.24 Mg/m³
Magnetization ... 0.000 μB/atom
Raw formation energy ... 0.990 eV/atom

```
data_Be2NbIN
_chemical_formula_sum 'Be2 Nb1 I1 N1'
_space_group_name_H-M_alt 'P 4/m m m'
_space_group_IT_number 123
_space_group_name_Hall '-P 4 2'
_cell_length_a 4.993
_cell_length_b 4.993
_cell_length_c 3.953
_cell_angle_alpha 90.00
_cell_angle_beta 90.00
_cell_angle_gamma 90.00
loop_
_atom_site_label
_atom_site_fract_x
_atom_site_fract_y
_atom_site_fract_z
Be1 0.000 0.500 0.000
Nb1 0.000 0.000 0.000
I1 0.500 0.500 0.500
N1 0.000 0.000 0.500
```


8.
The following is a DFT calculation (GGA-PBE) of a relaxed structure of Pm6PuIn5.

Computed properties:
Mass density ... 8.09 Mg/m³
Magnetization ... 0.660 μB/atom
Formation energy ... -0.37 eV/atom

```
data_Pm6PuIn5
_chemical_formula_sum 'Pm12 Pu2 In10'
_space_group_name_H-M_alt 'C m m m'
_space_group_IT_number 65
_space_group_name_Hall '-C 2 2'
_cell_length_a 5.459
_cell_length_b 16.400
_cell_length_c 7.740
_cell_angle_alpha 90.00
_cell_angle_beta 90.00
_cell_angle_gamma 90.00
loop_
_atom_site_label
_atom_site_fract_x
_atom_site_fract_y
_atom_site_fract_z
Pm1 0.000 0.000 0.239
Pm2 0.000 0.332 0.253
Pu1 0.000 0.500 0.500
In1 0.000 0.157 0.500
In2 0.000 0.169 0.000
In3 0.000 0.500 0.000
```


9.
The following is a DFT calculation (GGA-PBE) of a relaxed structure of Sr4BeZn.

Computed properties:
Mass density ... 2.67 Mg/m³
Magnetization ... 0.000 μB/atom
Formation energy ... 0.89 eV/atom

```
data_Sr4BeZn
_chemical_formula_sum 'Sr16 Be4 Zn4'
_space_group_name_H-M_alt 'F -4 3 m'
_space_group_IT_number 216
_space_group_name_Hall 'F -4 2 3'
_cell_length_a 10.181
_cell_length_b 10.181
_cell_length_c 10.181
_cell_angle_alpha 90.00
_cell_angle_beta 90.00
_cell_angle_gamma 90.00
loop_
_atom_site_label
_atom_site_fract_x
_atom_site_fract_y
_atom_site_fract_z
Sr1 0.125 0.125 0.125
Be1 0.000 0.000 0.500
Zn1 0.250 0.250 0.750
```


10.
The following is a DFT calculation (GGA-PBE) of a relaxed structure of KAg3F4.

Computed properties:
Mass density ... 5.02 Mg/m³
Magnetization ... 0.000 μB/atom
Raw formation energy ... -1.392 eV/atom

```
data_KAg3F4
_chemical_formula_sum 'K2 Ag6 F8'
_space_group_name_H-M_alt 'P m -3 n'
_space_group_IT_number 223
_space_group_name_Hall '-P 4n 2 3'
_cell_length_a 6.622
_cell_length_b 6.622
_cell_length_c 6.622
_cell_angle_alpha 90.00
_cell_angle_beta 90.00
_cell_angle_gamma 90.00
loop_
_atom_site_label
_atom_site_fract_x
_atom_site_fract_y
_atom_site_fract_z
K1 0.000 0.000 0.000
Ag1 0.000 0.250 0.500
F1 0.250 0.250 0.250
```


11.
The following is a DFT calculation (GGA-PBE) of a relaxed structure of TaHg2As.

Computed properties:
Mass density ... 12.22 Mg/m³
Magnetization ... 0.000 μB/atom
Formation energy ... 0.17 eV/atom

```
data_TaHg2As
_chemical_formula_sum 'Ta3 Hg6 As3'
_space_group_name_H-M_alt 'R 3 m'
_space_group_IT_number 160
_space_group_name_Hall 'R 3 -2"'
_cell_length_a 3.3912
_cell_length_b 3.3912
_cell_length_c 26.8909
_cell_angle_alpha 90.00
_cell_angle_beta 90.00
_cell_angle_gamma 120.00
loop_
_atom_site_label
_atom_site_fract_x
_atom_site_fract_y
_atom_site_fract_z
Ta1 0.0000 0.0000 0.0000
Hg1 0.0000 0.0000 0.2497
Hg2 0.0000 0.0000 0.4877
As1 0.0000 0.0000 0.7276
```


12.
The following is a DFT calculation (GGA-PBE) of a relaxed structure of Ba2MoC.

Computed properties:
Mass density ... 4.70 Mg/m³
Magnetization ... 0.214 μB/atom
Formation energy ... 0.64 eV/atom

```
data_Ba2MoC
_chemical_formula_sum 'Ba8 Mo4 C4'
_space_group_name_H-M_alt 'I -4 2 d'
_space_group_IT_number 122
_space_group_name_Hall 'I -4 2bw'
_cell_length_a 11.480
_cell_length_b 11.480
_cell_length_c 4.104
_cell_angle_alpha 90.00
_cell_angle_beta 90.00
_cell_angle_gamma 90.00
loop_
_atom_site_label
_atom_site_fract_x
_atom_site_fract_y
_atom_site_fract_z
Ba1 0.064 0.250 0.125
Mo1 0.000 0.000 0.500
C1 0.000 0.000 0.000
```


13.
The following is a DFT calculation (GGA-PBE) of a relaxed structure of CsRbTe3As.

Computed properties:
Mass density ... 4.13 Mg/m³
Magnetization ... 0.000 μB/atom
Raw formation energy ... -0.546 eV/atom

```
data_CsRbTe3As
_chemical_formula_sum 'Cs4 Rb4 Te12 As4'
_space_group_name_H-M_alt 'C 1 2/m 1'
_space_group_IT_number 12
_cell_length_a 11.238
_cell_length_b 10.009
_cell_length_c 10.000
_cell_angle_alpha 90.00
_cell_angle_beta 104.80
_cell_angle_gamma 90.00
loop_
_space_group_symop_operation_xyz
'x,y,z'
'-x,-y,-z'
'-x,y,-z'
'x,-y,z'
'x+1/2,y+1/2,z'
'-x+1/2,-y+1/2,-z'
'-x+1/2,y+1/2,-z'
'x+1/2,-y+1/2,z'
loop_
_atom_site_label
_atom_site_fract_x
_atom_site_fract_y
_atom_site_fract_z
Cs1 0.108 0.000 0.385
Rb1 0.000 0.272 0.000
Te1 0.161 0.271 0.707
Te2 0.169 0.500 0.268
As1 0.034 0.500 0.638
```


14.
The following is a DFT calculation (GGA-PBE) of a relaxed structure of Ho2TmGa9.

Computed properties:
Mass density ... 8.11 Mg/m³
Magnetization ... 0.000 μB/atom
Formation energy ... -0.53 eV/atom

```
data_Ho2TmGa9
_chemical_formula_sum 'Ho2 Tm1 Ga9'
_space_group_name_H-M_alt 'P 4/m m m'
_space_group_IT_number 123
_space_group_name_Hall '-P 4 2'
_cell_length_a 4.253
_cell_length_b 4.253
_cell_length_c 12.744
_cell_angle_alpha 90.00
_cell_angle_beta 90.00
_cell_angle_gamma 90.00
loop_
_atom_site_label
_atom_site_fract_x
_atom_site_fract_y
_atom_site_fract_z
Ho1 0.000 0.000 0.167
Tm1 0.000 0.000 0.500
Ga1 0.000 0.500 0.000
Ga2 0.000 0.500 0.334
Ga3 0.500 0.500 0.167
Ga4 0.500 0.500 0.500
```


15.
The following is a DFT calculation (GGA-PBE) of a relaxed structure of ZnHAu3.

Computed properties:
Mass density ... 9.28 Mg/m³
Magnetization ... 0.185 μB/atom
ΔE to the lowest computed polymorph ... 756 meV/atom

```
data_ZnHAu3
_chemical_formula_sum 'Zn1 H1 Au3'
_space_group_name_H-M_alt 'P m -3 m'
_space_group_IT_number 221
_space_group_name_Hall '-P 4 2 3'
_cell_length_a 4.899
_cell_length_b 4.899
_cell_length_c 4.899
_cell_angle_alpha 90.00
_cell_angle_beta 90.00
_cell_angle_gamma 90.00
loop_
_atom_site_label
_atom_site_fract_x
_atom_site_fract_y
_atom_site_fract_z
Zn1 0.000 0.000 0.000
H1 0.500 0.500 0.500
Au1 0.000 0.000 0.500
```


16.
The following is a DFT calculation (GGA-PBE) of a relaxed structure of SrOs2I.

Computed properties:
Mass density ... 12.26 Mg/m³
Magnetization ... 0.000 μB/atom
ΔE to the lowest computed polymorph ... 36 meV/atom
Raw formation energy ... 1.496 eV/atom

```
data_SrOs2I
_chemical_formula_sum 'Sr4 Os8 I4'
_space_group_name_H-M_alt 'F m -3 m'
_space_group_IT_number 225
_space_group_name_Hall '-F 4 2 3'
_cell_length_a 6.857
_cell_length_b 6.857
_cell_length_c 6.857
_cell_angle_alpha 90.00
_cell_angle_beta 90.00
_cell_angle_gamma 90.00
loop_
_atom_site_label
_atom_site_fract_x
_atom_site_fract_y
_atom_site_fract_z
Sr1 0.000 0.000 0.000
Os1 0.250 0.250 0.250
I1 0.000 0.000 0.500
```


17.
The following is a DFT calculation (GGA-PBE) of a relaxed structure of Nb2NCl.

Computed properties:
Mass density ... 7.38 Mg/m³
Magnetization ... 0.330 μB/atom
ΔE to the lowest computed polymorph ... 503 meV/atom
Raw formation energy ... 0.361 eV/atom

```
data_Nb2NCl
_chemical_formula_sum 'Nb8 N4 Cl4'
_space_group_name_H-M_alt 'F m -3 m'
_space_group_IT_number 225
_space_group_name_Hall '-F 4 2 3'
_cell_length_a 5.959
_cell_length_b 5.959
_cell_length_c 5.959
_cell_angle_alpha 90.00
_cell_angle_beta 90.00
_cell_angle_gamma 90.00
loop_
_atom_site_label
_atom_site_fract_x
_atom_site_fract_y
_atom_site_fract_z
Nb1 0.250 0.250 0.250
N1 0.000 0.000 0.000
Cl1 0.000 0.000 0.500
```


18.
The following is a DFT calculation (GGA-PBE) of a relaxed structure of CePm4Sm.

Computed properties:
Mass density ... 6.86 Mg/m³
Magnetization ... 0.354 μB/atom
ΔE to the lowest computed polymorph ... 111 meV/atom
Formation energy ... 0.32 eV/atom

```
data_CePm4Sm
_chemical_formula_sum 'Ce4 Pm16 Sm4'
_space_group_name_H-M_alt 'F -4 3 m'
_space_group_IT_number 216
_space_group_name_Hall 'F -4 2 3'
_cell_length_a 9.446
_cell_length_b 9.446
_cell_length_c 9.446
_cell_angle_alpha 90.00
_cell_angle_beta 90.00
_cell_angle_gamma 90.00
loop_
_atom_site_label
_atom_site_fract_x
_atom_site_fract_y
_atom_site_fract_z
Ce1 0.000 0.000 0.000
Pm1 0.125 0.125 0.625
Sm1 0.250 0.250 0.250
```


19.
The following is a DFT calculation (GGA-PBE) of a relaxed structure of Cd2HSeI.

Computed properties:
Mass density ... 3.33 Mg/m³
Magnetization ... 0.170 μB/atom
Electronic total energy ... -1.15 eV/atom

```
data_Cd2HSeI
_chemical_formula_sum 'Cd2 H1 Se1 I1'
_space_group_name_H-M_alt 'P 4/m m m'
_space_group_IT_number 123
_space_group_name_Hall '-P 4 2'
_cell_length_a 6.237
_cell_length_b 6.237
_cell_length_c 5.540
_cell_angle_alpha 90.00
_cell_angle_beta 90.00
_cell_angle_gamma 90.00
loop_
_atom_site_label
_atom_site_fract_x
_atom_site_fract_y
_atom_site_fract_z
Cd1 0.000 0.500 0.000
H1 0.000 0.000 0.500
Se1 0.500 0.500 0.500
I1 0.500 0.500 0.000
```


20.
The following is a DFT calculation (GGA-PBE) of a relaxed structure of TcSbPCl2.

Computed properties:
Mass density ... 3.78 Mg/m³
Magnetization ... 0.987 μB/atom
ΔE to the lowest computed polymorph ... 573 meV/atom
Raw formation energy ... 0.908 eV/atom

```
data_TcSbPCl2
_chemical_formula_sum 'Tc1 Sb1 P1 Cl2'
_space_group_name_H-M_alt 'P 4/m m m'
_space_group_IT_number 123
_space_group_name_Hall '-P 4 2'
_cell_length_a 5.151
_cell_length_b 5.151
_cell_length_c 5.330
_cell_angle_alpha 90.00
_cell_angle_beta 90.00
_cell_angle_gamma 90.00
loop_
_atom_site_label
_atom_site_fract_x
_atom_site_fract_y
_atom_site_fract_z
Tc1 0.000 0.000 0.000
Sb1 0.500 0.500 0.500
P1 0.500 0.500 0.000
Cl1 0.000 0.500 0.500
```


21.
The following is a DFT calculation (GGA-PBE) of a relaxed structure of Ca3HgN.

Computed properties:
Mass density ... 4.68 Mg/m³
Magnetization ... 0.000 μB/atom
Raw formation energy ... -0.671 eV/atom

```
data_Ca3HgN
_chemical_formula_sum 'Ca3 Hg1 N1'
_space_group_name_H-M_alt 'P m -3 m'
_space_group_IT_number 221
_space_group_name_Hall '-P 4 2 3'
_cell_length_a 4.918
_cell_length_b 4.918
_cell_length_c 4.918
_cell_angle_alpha 90.00
_cell_angle_beta 90.00
_cell_angle_gamma 90.00
loop_
_atom_site_label
_atom_site_fract_x
_atom_site_fract_y
_atom_site_fract_z
Ca1 0.000 0.000 0.500
Hg1 0.500 0.500 0.500
N1 0.000 0.000 0.000
```


22.
The following is a DFT calculation (GGA-PBE) of a relaxed structure of CaSnTe2.

Computed properties:
Mass density ... 4.73 Mg/m³
Magnetization ... 0.000 μB/atom
Raw formation energy ... -0.868 eV/atom

```
data_CaSnTe2
_chemical_formula_sum 'Ca4 Sn4 Te8'
_space_group_name_H-M_alt 'P n m a'
_space_group_IT_number 62
_cell_length_a 6.371
_cell_length_b 4.698
_cell_length_c 19.401
_cell_angle_alpha 90.00
_cell_angle_beta 90.00
_cell_angle_gamma 90.00
loop_
_space_group_symop_operation_xyz
'x,y,z'
'-x,-y,-z'
'-x+1/2,-y,z+1/2'
'x+1/2,y,-z+1/2'
'x+1/2,-y+1/2,-z+1/2'
'-x+1/2,y+1/2,z+1/2'
'-x,y+1/2,-z'
'x,-y+1/2,z'
loop_
_atom_site_label
_atom_site_fract_x
_atom_site_fract_y
_atom_site_fract_z
Ca1 0.248 0.250 0.062
Sn1 0.243 0.250 0.834
Te1 0.244 0.750 0.169
Te2 0.248 0.250 0.443
```